Entry 1:
First-principles (PBE) data for crystalline BaLi2Tl at its relaxed geometry, as listed in the Alexandria database.

## Properties
The total magnetic moment comes out at 0.0 μB/f.u. For the formation energy, the calculation gives -2 kJ/mol of atoms. The energy comes out at -2.0450 eV per atom. The space-group type is No. 47. For the mass density, the calculation gives 4526 kg/m3. For the energy above the most stable polymorph in this dataset, the calculation gives 196 meV/atom.

Lattice parameters (Å, degrees): 3.9758 5.6971 5.7594 90.00 90.00 90.00
Closest atoms and distances in Å follow each position.
Positions (direct):
1 Ba 0.0000 0.0000 0.0000  4 Li 3.47, 4 Tl 3.50
2 Li 0.0000 0.5000 0.5000  4 Tl 3.47, 4 Li 3.50
3 Li 0.5000 0.5000 0.0000  4 Ba 3.47, 4 Li 3.50
4 Tl 0.5000 0.0000 0.5000  4 Li 3.47, 4 Ba 3.50

=====

Entry 2:
First-principles (PBE) data for crystalline Ba2LiTl6 at its relaxed geometry, as listed in the Alexandria database.

## Properties
The total magnetic moment comes out at 0.0 μB/f.u. For the formation energy, the calculation gives -28 kJ/mol of atoms. The energy comes out at -2.5048 eV per atom. The space-group type is No. 12. For the mass density, the calculation gives 8751 kg/m3.

Lattice parameters (Å, degrees): 7.2538 7.2538 6.0961 96.43 96.43 64.15
Closest atoms and distances in Å follow each position.
Positions (direct):
1 Ba 0.1830 0.1830 0.3100  12 Tl 3.63-3.97, 1 Li 3.92
2 Ba 0.8170 0.8170 0.6900  12 Tl 3.63-3.97, 1 Li 3.92
3 Li 0.5000 0.5000 0.5000  6 Tl 2.86-2.87
4 Tl 0.1356 0.6980 0.2193  1 Li 2.86, 1 Tl 3.19
5 Tl 0.3020 0.8644 0.7807  1 Li 2.86, 1 Tl 3.19
6 Tl 0.3586 0.3586 0.8383  1 Li 2.87, 2 Tl 3.19
7 Tl 0.6414 0.6414 0.1617  1 Li 2.87, 2 Tl 3.19
8 Tl 0.6980 0.1356 0.2193  1 Li 2.86, 1 Tl 3.19
9 Tl 0.8644 0.3020 0.7807  1 Li 2.86, 1 Tl 3.19

=====

Please write out number 1 again, unchanged.
First-principles (PBE) data for crystalline BaLi2Tl at its relaxed geometry, as listed in the Alexandria database.

## Properties
The total magnetic moment comes out at 0.0 μB/f.u. For the formation energy, the calculation gives -2 kJ/mol of atoms. The energy comes out at -2.0450 eV per atom. The space-group type is No. 47. For the mass density, the calculation gives 4526 kg/m3. For the energy above the most stable polymorph in this dataset, the calculation gives 196 meV/atom.

Lattice parameters (Å, degrees): 3.9758 5.6971 5.7594 90.00 90.00 90.00
Closest atoms and distances in Å follow each position.
Positions (direct):
1 Ba 0.0000 0.0000 0.0000  4 Li 3.47, 4 Tl 3.50
2 Li 0.0000 0.5000 0.5000  4 Tl 3.47, 4 Li 3.50
3 Li 0.5000 0.5000 0.0000  4 Ba 3.47, 4 Li 3.50
4 Tl 0.5000 0.0000 0.5000  4 Li 3.47, 4 Ba 3.50

=====

> Which formula does entry 1 have?

BaLi2Tl